VASP calculation (PBEsol) on a relaxed InOs2Pb crystal.

```
data_InOs2Pb
_chemical_formula_sum 'In1 Os2 Pb1'
_space_group_name_H-M_alt 'P m m m'
_space_group_IT_number 47
_cell_length_a 3.121
_cell_length_b 4.454
_cell_length_c 5.161
_cell_angle_alpha 90.00
_cell_angle_beta 90.00
_cell_angle_gamma 90.00
loop_
_space_group_symop_operation_xyz
'x,y,z'
'-x,-y,-z'
'-x,-y,z'
'x,y,-z'
'x,-y,-z'
'-x,y,z'
'-x,y,-z'
'x,-y,z'
loop_
_atom_site_label
_atom_site_fract_x
_atom_site_fract_y
_atom_site_fract_z
In1 0.000 0.000 0.000
Os1 0.000 0.500 0.500
Os2 0.500 0.500 0.000
Pb1 0.500 0.000 0.500
```

The calculation puts the energy of formation at 1014.7 meV/atom. The energy relative to the lowest polymorph listed for this composition comes out at 328 meV/atom. The calculation puts the mass density at 16260 kg/m³. For the magnetic moment, the calculation gives 0.0 μB/cell.